Entry 1:
{"formula": "BaSn2I", "functional": "PBE-GGA", "state": "relaxed", "lattice": [[-5.0216, 5.0216, 3.2277], [5.0216, -5.0216, 3.2277], [5.0216, 5.0216, -3.2277]], "species": ["Ba", "Ba", "Sn", "Sn", "Sn", "Sn", "I", "I"], "fractional_positions": [[0.0000, 0.0000, 0.0000], [0.7500, 0.2500, 0.5000], [0.1420, 0.6250, 0.0170], [0.3750, 0.3920, 0.5170], [0.6080, 0.1250, 0.9830], [0.8750, 0.8580, 0.4830], [0.2500, 0.7500, 0.5000], [0.5000, 0.5000, 0.0000]], "magmom_total_mub_per_cell": 0.00, "density_g_cm3": 5.1, "e_form_raw_ev_per_atom": -0.179}

***

Entry 2:
{"formula": "ReSbCl2", "functional": "PBE-GGA", "state": "relaxed", "lattice": [[2.6400, -6.5748, 0.0000], [2.6400, 6.5748, 0.0000], [0.0000, 0.0000, 3.1793]], "species": ["Re", "Sb", "Cl", "Cl"], "fractional_positions": [[0.0000, 0.0000, 0.0000], [0.5000, 0.5000, 0.0000], [0.1398, 0.8602, 0.5000], [0.8602, 0.1398, 0.5000]], "magmom_total_mub_per_cell": 0.00, "density_g_cm3": 5.7, "e_form_raw_ev_per_atom": 0.024}

***

Entry 3:
{"formula": "TiMn2V6", "functional": "PBE-GGA", "state": "relaxed", "lattice": [[4.7494, -1.4649, 0.0000], [4.7494, 1.4649, 0.0000], [-3.0609, 0.0000, 8.4310]], "species": ["Ti", "Mn", "Mn", "V", "V", "V", "V", "V", "V"], "fractional_positions": [[0.0000, 0.0000, 0.0000], [0.3318, 0.3318, 0.7717], [0.6682, 0.6682, 0.2283], [0.0053, 0.0053, 0.3301], [0.3228, 0.3228, 0.1166], [0.3303, 0.3303, 0.4377], [0.6697, 0.6697, 0.5623], [0.6772, 0.6772, 0.8834], [0.9947, 0.9947, 0.6699]], "magmom_total_mub_per_cell": 0.00, "density_g_cm3": 6.6, "e_form_kj_per_mol_atoms": -13}

***

Entry 4:
{"formula": "PmP2Pt5", "functional": "PBE-GGA", "state": "relaxed", "lattice": [[5.1729, -3.4831, 0.0000], [5.1729, 3.4831, 0.0000], [-1.6326, 0.0000, 3.8066]], "species": ["Pm", "P", "P", "Pt", "Pt", "Pt", "Pt", "Pt"], "fractional_positions": [[0.0000, 0.0000, 0.0000], [0.2530, 0.2530, 0.7537], [0.7470, 0.7470, 0.2463], [0.1434, 0.5599, 0.3519], [0.4401, 0.8566, 0.6481], [0.5000, 0.5000, 0.0000], [0.5599, 0.1434, 0.3519], [0.8566, 0.4401, 0.6481]], "magmom_total_mub_per_cell": 0.00, "density_g_cm3": 14.3, "e_form_kj_per_mol_atoms": -70}

***

Entry 5:
{"formula": "Hg2SbOs", "functional": "PBE-GGA", "state": "relaxed", "lattice": [[3.6991, 0.0000, 0.0000], [0.0000, 4.1737, 0.0000], [0.0000, 0.0000, 5.4314]], "species": ["Hg", "Hg", "Sb", "Os"], "fractional_positions": [[0.0000, 0.0000, 0.2430], [0.0000, 0.0000, 0.7570], [0.5000, 0.5000, 0.5000], [0.5000, 0.5000, 0.0000]], "magmom_total_mub_per_cell": 0.19, "density_g_cm3": 14.1, "e_form_raw_ev_per_atom": 0.837}

***

Entry 6:
{"formula": "Y3MgN", "functional": "PBE-GGA", "state": "relaxed", "lattice": [[-1.7157, 5.4071, 6.8299], [1.7157, -5.4071, 6.8299], [1.7157, 5.4071, -6.8299]], "species": ["Y", "Y", "Y", "Y", "Y", "Y", "Mg", "Mg", "N", "N"], "fractional_positions": [[0.1654, 0.1654, 0.0000], [0.2025, 0.8534, 0.3492], [0.4958, 0.1466, 0.3492], [0.5042, 0.8534, 0.6508], [0.7975, 0.1466, 0.6508], [0.8346, 0.8346, 0.0000], [0.1538, 0.5000, 0.6538], [0.8462, 0.5000, 0.3462], [0.3345, 0.3345, 0.0000], [0.6655, 0.6655, 0.0000]], "magmom_total_mub_per_cell": 0.00, "density_g_cm3": 4.0, "e_form_raw_ev_per_atom": -0.530}

***

Entry 7:
{"formula": "TaTe3Br", "functional": "PBE-GGA", "state": "relaxed", "lattice": [[5.4174, 0.0000, 0.0000], [0.0000, 5.4174, 0.0000], [0.0000, 0.0000, 5.4174]], "species": ["Ta", "Te", "Te", "Te", "Br"], "fractional_positions": [[0.0000, 0.0000, 0.0000], [0.0000, 0.5000, 0.5000], [0.5000, 0.0000, 0.5000], [0.5000, 0.5000, 0.0000], [0.5000, 0.5000, 0.5000]], "magmom_total_mub_per_cell": 2.19, "density_g_cm3": 6.7, "e_form_raw_ev_per_atom": 1.495}

***

Entry 8:
{"formula": "CrP2Au", "functional": "PBE-GGA", "state": "relaxed", "lattice": [[-1.9743, 2.0260, 4.7751], [1.9743, -2.0260, 4.7751], [1.9743, 2.0260, -4.7751]], "species": ["Cr", "P", "P", "Au"], "fractional_positions": [[0.0000, 0.0000, 0.0000], [0.1550, 0.6550, 0.5000], [0.8450, 0.3450, 0.5000], [0.5000, 0.5000, 0.0000]], "magmom_total_mub_per_cell": 3.34, "density_g_cm3": 6.8, "e_form_kj_per_mol_atoms": 33}